{
  "formula": "KNaScCl6",
  "functional": "PBE",
  "state": "optimized geometry",
  "cell": [[7.0269, 0.0305, 0.0042], [3.5399, 6.0698, -0.0040], [0.0038, -0.0063, 6.7545]],
  "species": ["K", "Na", "Sc", "Cl", "Cl", "Cl", "Cl", "Cl", "Cl"],
  "frac_coords": [[0.0004, 0.0004, 0.0000], [0.3355, 0.3356, 0.5000], [0.6656, 0.6656, 0.5000], [0.9669, 0.3702, 0.2952], [0.3702, 0.9669, 0.7048], [0.6556, 0.3830, 0.7157], [0.9583, 0.6644, 0.7104], [0.3830, 0.6557, 0.2842], [0.6644, 0.9583, 0.2896]],
  "vol_a3_per_cell": 287.4,
  "m_tot_mub_per_fu": 1.2,
  "n_ef_per_ev_atom": 1.275,
  "e_form_raw_ev_per_atom": -1.69
}

=====

{
  "formula": "K2NaSeCl6",
  "functional": "PBE",
  "state": "optimized geometry",
  "cell": [[-4.3282, -2.2877, -5.3322], [2.7619, -3.7302, -5.5549], [-2.6228, -13.3463, 2.9416]],
  "species": ["K", "K", "K", "K", "Na", "Na", "Se", "Se", "Cl", "Cl", "Cl", "Cl", "Cl", "Cl", "Cl", "Cl", "Cl", "Cl", "Cl", "Cl"],
  "frac_coords": [[0.8615, 0.8615, 0.4154], [0.1385, 0.1385, 0.5846], [0.6943, 0.6943, 0.9170], [0.3057, 0.3057, 0.0830], [0.5834, 0.5834, 0.2498], [0.4166, 0.4166, 0.7502], [0.0000, 0.0000, 0.0000], [0.5000, 0.5000, 0.5000], [0.8748, 0.3681, 0.3891], [0.3681, 0.8748, 0.3891], [0.3681, 0.3681, 0.3891], [0.1252, 0.6319, 0.6109], [0.6319, 0.1252, 0.6109], [0.6319, 0.6319, 0.6109], [0.6997, 0.2047, 0.8910], [0.2047, 0.6997, 0.8910], [0.2047, 0.2047, 0.8910], [0.3003, 0.7953, 0.1090], [0.7953, 0.3003, 0.1090], [0.7953, 0.7953, 0.1090]],
  "vol_a3_per_cell": 602.3,
  "m_tot_mub_per_fu": 0.9,
  "n_ef_per_ev_atom": 0.371,
  "e_form_raw_ev_per_atom": -1.13
}

=====

{
  "formula": "KNaSm2Cl8",
  "functional": "PBE",
  "state": "optimized geometry",
  "cell": [[-0.9848, 5.3941, -4.1128], [-6.6537, -1.1079, -0.6415], [-1.4737, 4.9134, 6.7966]],
  "species": ["K", "Na", "Sm", "Sm", "Cl", "Cl", "Cl", "Cl", "Cl", "Cl", "Cl", "Cl"],
  "frac_coords": [[0.0000, 0.0000, 0.5000], [0.0000, 0.0000, 0.0000], [0.5000, 0.5000, 0.7541], [0.5000, 0.5000, 0.2459], [0.2072, 0.7776, 0.2303], [0.6742, 0.6898, 0.0000], [0.7928, 0.2224, 0.2303], [0.7928, 0.2224, 0.7697], [0.3258, 0.3102, 0.0000], [0.2072, 0.7776, 0.7697], [0.6661, 0.6836, 0.5000], [0.3339, 0.3164, 0.5000]],
  "vol_a3_per_cell": 394.5,
  "m_tot_mub_per_fu": 0.0,
  "n_ef_per_ev_atom": 0.000,
  "e_form_raw_ev_per_atom": -2.13
}

=====

{
  "formula": "KNa2SmCl6",
  "functional": "PBE",
  "state": "optimized geometry",
  "cell": [[7.2502, 0.0000, 0.0007], [3.6251, 6.2782, 0.0000], [3.6252, 2.0926, 6.5730]],
  "species": ["K", "Na", "Na", "Sm", "Cl", "Cl", "Cl", "Cl", "Cl", "Cl"],
  "frac_coords": [[0.8074, 0.8074, 0.5779], [0.5204, 0.5205, 0.4392], [0.0088, 0.0088, 0.9731], [0.3221, 0.3221, 0.0337], [0.5881, 0.2403, 0.2364], [0.2402, 0.9352, 0.2363], [0.9353, 0.5883, 0.2364], [0.3701, 0.7172, 0.7607], [0.7173, 0.1519, 0.7608], [0.1519, 0.3700, 0.7609]],
  "vol_a3_per_cell": 299.2,
  "m_tot_mub_per_fu": 0.0,
  "n_ef_per_ev_atom": 0.000,
  "e_form_raw_ev_per_atom": -2.04
}

=====

Copy entry 4 word for word.
{
  "formula": "KNa2SmCl6",
  "functional": "PBE",
  "state": "optimized geometry",
  "cell": [[7.2502, 0.0000, 0.0007], [3.6251, 6.2782, 0.0000], [3.6252, 2.0926, 6.5730]],
  "species": ["K", "Na", "Na", "Sm", "Cl", "Cl", "Cl", "Cl", "Cl", "Cl"],
  "frac_coords": [[0.8074, 0.8074, 0.5779], [0.5204, 0.5205, 0.4392], [0.0088, 0.0088, 0.9731], [0.3221, 0.3221, 0.0337], [0.5881, 0.2403, 0.2364], [0.2402, 0.9352, 0.2363], [0.9353, 0.5883, 0.2364], [0.3701, 0.7172, 0.7607], [0.7173, 0.1519, 0.7608], [0.1519, 0.3700, 0.7609]],
  "vol_a3_per_cell": 299.2,
  "m_tot_mub_per_fu": 0.0,
  "n_ef_per_ev_atom": 0.000,
  "e_form_raw_ev_per_atom": -2.04
}

=====

What did the third record say?
{
  "formula": "KNaSm2Cl8",
  "functional": "PBE",
  "state": "optimized geometry",
  "cell": [[-0.9848, 5.3941, -4.1128], [-6.6537, -1.1079, -0.6415], [-1.4737, 4.9134, 6.7966]],
  "species": ["K", "Na", "Sm", "Sm", "Cl", "Cl", "Cl", "Cl", "Cl", "Cl", "Cl", "Cl"],
  "frac_coords": [[0.0000, 0.0000, 0.5000], [0.0000, 0.0000, 0.0000], [0.5000, 0.5000, 0.7541], [0.5000, 0.5000, 0.2459], [0.2072, 0.7776, 0.2303], [0.6742, 0.6898, 0.0000], [0.7928, 0.2224, 0.2303], [0.7928, 0.2224, 0.7697], [0.3258, 0.3102, 0.0000], [0.2072, 0.7776, 0.7697], [0.6661, 0.6836, 0.5000], [0.3339, 0.3164, 0.5000]],
  "vol_a3_per_cell": 394.5,
  "m_tot_mub_per_fu": 0.0,
  "n_ef_per_ev_atom": 0.000,
  "e_form_raw_ev_per_atom": -2.13
}